(1)
Entry from OQMD via LeMat-Bulk: an optimized crystal structure of Ba2AgWS6 (GGA-PBE).

SG   R-3m (166)
Relative energy among the computed polymorphs   0 kJ/mol of formula units
VASP energy   -106.65 eV for the cell shown

Cell lengths 12.6365, 12.6365, 12.6365 Å; angles 31.29, 31.29, 31.29 degrees
Sites, in units of the cell vectors:
Ba 0.1216 0.1216 0.1216
Ba 0.7029 0.7029 0.7029
Ba 0.2971 0.2971 0.2971
Ba 0.8784 0.8784 0.8784
S 0.2867 0.7982 0.7982
S 0.7982 0.7982 0.2867
S 0.7982 0.2867 0.7982
S 0.8783 0.3678 0.3678
S 0.1217 0.6322 0.6322
S 0.7133 0.2018 0.2018
S 0.2018 0.7133 0.2018
S 0.6322 0.6322 0.1217
S 0.2018 0.2018 0.7133
S 0.6322 0.1217 0.6322
S 0.3678 0.8783 0.3678
S 0.3678 0.3678 0.8783
W 0.5000 0.5000 0.5000
W 0.0000 0.0000 0.0000
Ag 0.5837 0.5837 0.5837
Ag 0.4163 0.4163 0.4163


(2)
Entry from OQMD via LeMat-Bulk: an optimized crystal structure of Ba2YAg5S6 (GGA-PBE).

SG   C2/m (12)
VASP energy   -63.74 eV for the cell shown

Cell lengths 7.3396, 7.3396, 11.2916 Å; angles 95.02, 95.02, 33.27 degrees
Sites, in units of the cell vectors:
S 0.8421 0.8421 0.8975
S 0.1579 0.1579 0.1025
S 0.1252 0.1252 0.4540
S 0.4118 0.4118 0.2673
S 0.8748 0.8748 0.5460
S 0.5882 0.5882 0.7327
Ag 0.3535 0.3535 0.0412
Ag 0.0000 0.0000 0.0000
Ag 0.9816 0.9816 0.7445
Ag 0.6465 0.6465 0.9588
Ag 0.0184 0.0184 0.2555
Y 0.5000 0.5000 0.5000
Ba 0.2539 0.2539 0.7024
Ba 0.7461 0.7461 0.2976


(3)
Entry from OQMD via LeMat-Bulk: an optimized crystal structure of Ba2ZrAgS6 (GGA-PBE).

SG   Fm-3m (225)
VASP energy   -50.99 eV for the cell shown

Cell lengths 7.0872, 7.0872, 7.0872 Å; angles 120.00, 120.00, 60.00 degrees
Sites, in units of the cell vectors:
Ba 0.7500 0.7500 0.2500
Ba 0.2500 0.2500 0.7500
S 0.7497 0.2503 0.7497
S 0.7497 0.2503 0.2503
S 0.2503 0.7497 0.7497
S 0.2503 0.2503 0.2503
S 0.2503 0.7497 0.2503
S 0.7497 0.7497 0.7497
Zr 0.0000 0.0000 0.0000
Ag 0.5000 0.5000 0.5000


(4)
Entry from OQMD via LeMat-Bulk: an optimized crystal structure of BaAgSb (GGA-PBE).

SG   P6_3/mmc (194)
VASP energy   -22.48 eV for the cell shown

Cell lengths 4.8891, 4.8891, 9.3234 Å; angles 90.00, 90.00, 120.00 degrees
Sites, in units of the cell vectors:
Ag 0.3333 0.6667 0.7500
Ag 0.6667 0.3333 0.2500
Ba 0.0000 0.0000 0.5000
Ba 0.0000 0.0000 0.0000
Sb 0.3333 0.6667 0.2500
Sb 0.6667 0.3333 0.7500


(5)
Entry from OQMD via LeMat-Bulk: an optimized crystal structure of BaAgSb (GGA-PBE).

SG   P6_3/mmc (194)
VASP energy   -19.84 eV for the cell shown

Cell lengths 5.6887, 5.6887, 6.9267 Å; angles 90.00, 90.00, 120.00 degrees
Sites, in units of the cell vectors:
Sb 0.6667 0.3333 0.7500
Sb 0.3333 0.6667 0.2500
Ag 0.0000 0.0000 0.5000
Ag 0.0000 0.0000 0.0000
Ba 0.6667 0.3333 0.2500
Ba 0.3333 0.6667 0.7500


(6)
Entry from OQMD via LeMat-Bulk: an optimized crystal structure of BaAgSb2 (GGA-PBE).

SG   F-43m (216)
VASP energy   -13.80 eV for the cell shown

Cell lengths 5.5321, 5.5321, 5.5321 Å; angles 60.00, 60.00, 60.00 degrees
Sites, in units of the cell vectors:
Sb 0.2500 0.2500 0.2500
Sb 0.5000 0.5000 0.5000
Ba 0.0000 0.0000 0.0000
Ag 0.7500 0.7500 0.7500


(7)
Entry from OQMD via LeMat-Bulk: an optimized crystal structure of BaSrAg2Sb2 (GGA-PBE).

SG   P3m1 (156)
VASP energy   -22.13 eV for the cell shown

Cell lengths 4.8400, 4.8400, 8.7604 Å; angles 90.00, 90.00, 120.00 degrees
Sites, in units of the cell vectors:
Ba 0.0000 0.0000 0.7501
Sb 0.6667 0.3333 0.0055
Sb 0.3333 0.6667 0.4850
Ag 0.6667 0.3333 0.4858
Ag 0.3333 0.6667 0.0242
Sr 0.0000 0.0000 0.2493


(8)
Entry from OQMD via LeMat-Bulk: an optimized crystal structure of BaTmAg2Sb2 (GGA-PBE).

SG   P-3m1 (164)
VASP energy   -24.29 eV for the cell shown

Cell lengths 4.8338, 4.8338, 8.1651 Å; angles 90.00, 90.00, 120.00 degrees
Sites, in units of the cell vectors:
Tm 0.0000 0.0000 0.7501
Sb 0.3333 0.6667 0.5253
Sb 0.6667 0.3333 0.9740
Ag 0.6667 0.3333 0.5808
Ag 0.3333 0.6667 0.9197
Ba 0.0000 0.0000 0.2501


(9)
Entry from OQMD via LeMat-Bulk: an optimized crystal structure of BaScAgSe3 (GGA-PBE).

SG   Pnma (62)
VASP energy   -119.76 eV for the cell shown

Cell lengths 9.6276, 4.2277, 15.2842 Å; angles 90.00, 90.00, 90.00 degrees
Sites, in units of the cell vectors:
Sc 0.3207 0.7500 0.0399
Sc 0.1793 0.2500 0.5399
Sc 0.8207 0.7500 0.4601
Sc 0.6793 0.2500 0.9601
Ba 0.5402 0.7500 0.6835
Ba 0.9598 0.2500 0.1835
Ba 0.0402 0.7500 0.8165
Ba 0.4598 0.2500 0.3165
Se 0.2768 0.2500 0.7026
Se 0.0086 0.7500 0.5957
Se 0.6541 0.2500 0.5178
Se 0.5086 0.7500 0.9043
Se 0.1541 0.2500 0.9822
Se 0.2232 0.7500 0.2026
Se 0.3459 0.7500 0.4822
Se 0.7232 0.7500 0.2974
Se 0.4914 0.2500 0.0957
Se 0.8459 0.7500 0.0178
Se 0.9914 0.2500 0.4043
Se 0.7768 0.2500 0.7974
Ag 0.8526 0.2500 0.6347
Ag 0.6474 0.7500 0.1347
Ag 0.3526 0.2500 0.8653
Ag 0.1474 0.7500 0.3653


(10)
Entry from OQMD via LeMat-Bulk: an optimized crystal structure of BaScAgSe3 (GGA-PBE).

SG   P2_1/m (11)
VASP energy   -60.40 eV for the cell shown

Cell lengths 8.2689, 4.1419, 9.6811 Å; angles 90.00, 108.03, 90.00 degrees
Sites, in units of the cell vectors:
Se 0.9540 0.7500 0.1393
Se 0.7750 0.7500 0.5493
Se 0.3982 0.7500 0.1290
Se 0.6018 0.2500 0.8710
Se 0.0460 0.2500 0.8607
Se 0.2250 0.2500 0.4507
Ba 0.7280 0.2500 0.2640
Ba 0.2720 0.7500 0.7360
Sc 0.1823 0.2500 0.1549
Sc 0.8177 0.7500 0.8451
Ag 0.5892 0.2500 0.5960
Ag 0.4108 0.7500 0.4040


(11)
Entry from OQMD via LeMat-Bulk: an optimized crystal structure of BaScAgSe3 (GGA-PBE).

SG   Pnma (62)
VASP energy   -120.15 eV for the cell shown

Cell lengths 10.4839, 4.1784, 14.1166 Å; angles 90.00, 90.00, 90.00 degrees
Sites, in units of the cell vectors:
Se 0.5409 0.2500 0.8813
Se 0.7485 0.2500 0.1738
Se 0.7515 0.7500 0.6738
Se 0.0386 0.7500 0.1182
Se 0.9614 0.2500 0.8818
Se 0.0409 0.2500 0.6187
Se 0.9591 0.7500 0.3813
Se 0.5386 0.7500 0.3818
Se 0.4591 0.7500 0.1187
Se 0.4614 0.2500 0.6182
Se 0.2485 0.2500 0.3262
Se 0.2515 0.7500 0.8262
Ba 0.2500 0.7500 0.5024
Ba 0.7500 0.7500 0.9976
Ba 0.7500 0.2500 0.4976
Ba 0.2500 0.2500 0.0024
Sc 0.0017 0.7500 0.7504
Sc 0.5017 0.7500 0.7496
Sc 0.4983 0.2500 0.2504
Sc 0.9983 0.2500 0.2496
Ag 0.7514 0.2500 0.7849
Ag 0.2514 0.2500 0.7151
Ag 0.2486 0.7500 0.2151
Ag 0.7486 0.7500 0.2849


(12)
Entry from OQMD via LeMat-Bulk: an optimized crystal structure of BaScAgSe3 (GGA-PBE).

SG   Pnma (62)
VASP energy   -120.88 eV for the cell shown

Cell lengths 14.1721, 4.1641, 10.5906 Å; angles 90.00, 90.00, 90.00 degrees
Sites, in units of the cell vectors:
Se 0.8593 0.7500 0.2678
Se 0.3914 0.7500 0.6383
Se 0.1407 0.2500 0.7322
Se 0.9083 0.2500 0.5696
Se 0.4083 0.2500 0.9304
Se 0.0917 0.7500 0.4304
Se 0.3593 0.7500 0.2322
Se 0.6086 0.2500 0.3617
Se 0.8914 0.7500 0.8617
Se 0.1086 0.2500 0.1383
Se 0.6407 0.2500 0.7678
Se 0.5917 0.7500 0.0696
Ag 0.4922 0.7500 0.4062
Ag 0.9922 0.7500 0.0938
Ag 0.5078 0.2500 0.5938
Ag 0.0078 0.2500 0.9062
Ba 0.2679 0.2500 0.4516
Ba 0.7679 0.2500 0.0484
Ba 0.7321 0.7500 0.5484
Ba 0.2321 0.7500 0.9515
Sc 0.4830 0.2500 0.1643
Sc 0.0170 0.7500 0.6643
Sc 0.9830 0.2500 0.3357
Sc 0.5170 0.7500 0.8357


(13)
Entry from OQMD via LeMat-Bulk: an optimized crystal structure of BaAg2Se2 (GGA-PBE).

SG   I4/mmm (139)
VASP energy   -18.86 eV for the cell shown

Cell lengths 7.6264, 7.6264, 7.6264 Å; angles 147.79, 147.79, 46.20 degrees
Sites, in units of the cell vectors:
Se 0.6200 0.6200 0.0000
Se 0.3800 0.3800 0.0000
Ba 0.0000 0.0000 0.0000
Ag 0.7500 0.2500 0.5000
Ag 0.2500 0.7500 0.5000


(14)
Entry from OQMD via LeMat-Bulk: an optimized crystal structure of Ba2AgSe (GGA-PBE).

SG   P2_1/m (11)
VASP energy   -28.81 eV for the cell shown

Cell lengths 6.5915, 4.8797, 9.2299 Å; angles 90.00, 99.07, 90.00 degrees
Sites, in units of the cell vectors:
Se 0.2310 0.7500 0.4154
Se 0.7690 0.2500 0.5846
Ba 0.2859 0.2500 0.6556
Ba 0.7141 0.7500 0.3444
Ba 0.1753 0.2500 0.1713
Ba 0.8247 0.7500 0.8287
Ag 0.3738 0.7500 0.9642
Ag 0.6262 0.2500 0.0358


(15)
Entry from OQMD via LeMat-Bulk: an optimized crystal structure of Ba2AgSe (GGA-PBE).

SG   Pmn2_1 (31)
VASP energy   -28.72 eV for the cell shown

Cell lengths 4.7362, 9.6476, 6.7382 Å; angles 90.00, 90.00, 90.00 degrees
Sites, in units of the cell vectors:
Ag 0.0000 0.6174 0.7483
Ag 0.5000 0.3826 0.2483
Se 0.5000 0.8852 0.2515
Se 0.0000 0.1148 0.7515
Ba 0.0000 0.1207 0.2513
Ba 0.5000 0.8793 0.7513
Ba 0.5000 0.3572 0.7489
Ba 0.0000 0.6428 0.2489


(16)
Entry from OQMD via LeMat-Bulk: an optimized crystal structure of Ba2AgSe (GGA-PBE).

SG   Pmc2_1 (26)
VASP energy   -28.05 eV for the cell shown

Cell lengths 5.1578, 6.5121, 8.4022 Å; angles 90.00, 90.00, 90.00 degrees
Sites, in units of the cell vectors:
Se 0.5000 0.5705 0.0360
Se 0.5000 0.4295 0.5360
Ag 0.0000 0.0516 0.4660
Ag 0.0000 0.9484 0.9660
Ba 0.5000 0.1089 0.1993
Ba 0.5000 0.8911 0.6993
Ba 0.0000 0.5814 0.2987
Ba 0.0000 0.4186 0.7987


(17)
Entry from OQMD via LeMat-Bulk: an optimized crystal structure of BaSiAg2TeSe3 (GGA-PBE).

SG   Cm (8)
Relative energy among the computed polymorphs   2 kJ/mol of formula units
VASP energy   -32.28 eV for the cell shown

Cell lengths 6.6019, 6.6019, 6.6736 Å; angles 113.87, 113.87, 99.62 degrees
Sites, in units of the cell vectors:
Se 0.4647 0.4647 0.6219
Se 0.1506 0.5283 0.9946
Se 0.5283 0.1506 0.9946
Ag 0.2659 0.7531 0.5001
Ag 0.7531 0.2659 0.5001
Ba 0.0119 0.0119 0.0201
Si 0.4822 0.4822 0.9800
Te 0.8432 0.8432 0.3885


(18)
Entry from OQMD via LeMat-Bulk: an optimized crystal structure of BaSiAg2TeSe3 (GGA-PBE).

SG   P1 (1)
Relative energy among the computed polymorphs   0 kJ/mol of formula units
VASP energy   -32.31 eV for the cell shown

Cell lengths 6.6144, 6.6194, 6.6961 Å; angles 112.08, 115.25, 100.39 degrees
Sites, in units of the cell vectors:
Se 0.5258 0.5339 0.3729
Se 0.8535 0.4773 0.0138
Se 0.4736 0.8478 0.0004
Ba 0.9881 0.9879 0.9844
Si 0.5183 0.5179 0.0197
Ag 0.7962 0.3103 0.4906
Ag 0.1885 0.6743 0.5034
Te 0.1561 0.1505 0.6148


(19)
Entry from OQMD via LeMat-Bulk: an optimized crystal structure of BaSmAgSe3 (GGA-PBE).

SG   P2_1/m (11)
VASP energy   -58.32 eV for the cell shown

Cell lengths 8.3125, 4.2718, 10.2001 Å; angles 90.00, 107.24, 90.00 degrees
Sites, in units of the cell vectors:
Sm 0.6949 0.2500 0.1546
Sm 0.3051 0.7500 0.8454
Ag 0.9133 0.7500 0.4059
Ag 0.0867 0.2500 0.5941
Se 0.4445 0.7500 0.1432
Se 0.7299 0.2500 0.4532
Se 0.2701 0.7500 0.5468
Se 0.5555 0.2500 0.8568
Se 0.0652 0.2500 0.8495
Se 0.9348 0.7500 0.1505
Ba 0.7510 0.7500 0.7126
Ba 0.2490 0.2500 0.2874


(20)
Entry from OQMD via LeMat-Bulk: an optimized crystal structure of BaSmAgTe2Se (GGA-PBE).

SG   Cmcm (63)
VASP energy   -54.90 eV for the cell shown

Cell lengths 7.9186, 7.9186, 11.0532 Å; angles 90.00, 90.00, 147.64 degrees
Sites, in units of the cell vectors:
Sm 0.0000 0.0000 0.5000
Sm 0.0000 0.0000 0.0000
Ag 0.4720 0.5280 0.2500
Ag 0.5280 0.4720 0.7500
Te 0.3563 0.6437 0.4466
Te 0.6437 0.3563 0.5534
Te 0.6437 0.3563 0.9466
Te 0.3563 0.6437 0.0534
Ba 0.7364 0.2636 0.2500
Ba 0.2636 0.7364 0.7500
Se 0.0741 0.9259 0.2500
Se 0.9259 0.0741 0.7500


(21)
Entry from OQMD via LeMat-Bulk: an optimized crystal structure of BaAg2SnSe4 (GGA-PBE).

SG   Ama2 (40)
Relative energy among the computed polymorphs   2 kJ/mol of formula units
VASP energy   -62.83 eV for the cell shown

Cell lengths 11.8255, 6.6881, 6.6881 Å; angles 116.75, 90.00, 90.00 degrees
Sites, in units of the cell vectors:
Ag 0.6290 0.9794 0.5641
Ag 0.1290 0.5641 0.9794
Ag 0.3710 0.5641 0.9794
Ag 0.8710 0.9794 0.5641
Se 0.4228 0.8879 0.3815
Se 0.7500 0.0377 0.2271
Se 0.2500 0.5360 0.6278
Se 0.0772 0.8879 0.3815
Se 0.7500 0.6278 0.5360
Se 0.2500 0.2271 0.0377
Se 0.5772 0.3815 0.8879
Se 0.9228 0.3815 0.8879
Ba 0.5000 0.3644 0.3644
Ba 0.0000 0.3644 0.3644
Sn 0.7500 0.6317 0.9259
Sn 0.2500 0.9259 0.6317